1.
## K2Zr2MnS6 (PBE-GGA)

Data for a geometry-optimized K2Zr2MnS6 structure.

Cell and atoms, written as CIF:
```
data_K2Zr2MnS6
_chemical_formula_sum 'K4 Zr4 Mn2 S12'
_symmetry_space_group_name_H-M 'C 1 2/m 1'
_symmetry_Int_Tables_number 12
_cell_length_a 6.482
_cell_length_b 11.289
_cell_length_c 7.831
_cell_angle_alpha 90.00
_cell_angle_beta 105.86
_cell_angle_gamma 90.00
loop_
_symmetry_equiv_pos_as_xyz
'x,y,z'
'-x,-y,-z'
'-x,y,-z'
'x,-y,z'
'x+1/2,y+1/2,z'
'-x+1/2,-y+1/2,-z'
'-x+1/2,y+1/2,-z'
'x+1/2,-y+1/2,z'
loop_
_atom_site_label
_atom_site_type_symbol
_atom_site_fract_x
_atom_site_fract_y
_atom_site_fract_z
_atom_site_occupancy
K1 K 0.000 0.165 0.000 1
Zr1 Zr 0.000 0.333 0.500 1
Mn1 Mn 0.000 0.000 0.500 1
S1 S 0.228 0.500 0.689 1
S2 S 0.232 0.169 0.691 1
```

Calculated values
The calculation puts the size of the total moment at 0.455 μB per atom. As for the formation energy (no corrections): -1.35 eV/atom.

2.
## MnReP2 (PBE-GGA)

Data for a geometry-optimized MnReP2 structure.

Cell and atoms, written as CIF:
```
data_MnReP2
_chemical_formula_sum 'Mn2 Re2 P4'
_symmetry_space_group_name_H-M 'C m m 2'
_symmetry_Int_Tables_number 35
_cell_length_a 3.106
_cell_length_b 4.421
_cell_length_c 9.213
_cell_angle_alpha 90.00
_cell_angle_beta 90.00
_cell_angle_gamma 90.00
loop_
_symmetry_equiv_pos_as_xyz
'x,y,z'
'-x,-y,z'
'-x,y,z'
'x,-y,z'
'x+1/2,y+1/2,z'
'-x+1/2,-y+1/2,z'
'-x+1/2,y+1/2,z'
'x+1/2,-y+1/2,z'
loop_
_atom_site_label
_atom_site_type_symbol
_atom_site_fract_x
_atom_site_fract_y
_atom_site_fract_z
_atom_site_occupancy
Mn1 Mn 0.000 0.000 0.000 1
Re1 Re 0.000 0.500 0.765 1
P1 P 0.000 0.000 0.561 1
P2 P 0.000 0.500 0.185 1
```

Calculated values
The calculation puts the size of the total moment at 0.639 μB per atom. Its density of states at the Fermi level is 3.26 states/eV/f.u. The value obtained for the energy above the most stable polymorph in this dataset is 0.511 eV per atom.

3.
## K5Se (PBE-GGA)

Data for a geometry-optimized K5Se structure.

Cell and atoms, written as CIF:
```
data_K5Se
_chemical_formula_sum 'K10 Se2'
_symmetry_space_group_name_H-M 'C m m m'
_symmetry_Int_Tables_number 65
_symmetry_space_group_name_Hall '-C 2 2'
_cell_length_a 4.340
_cell_length_b 31.640
_cell_length_c 5.181
_cell_angle_alpha 90.00
_cell_angle_beta 90.00
_cell_angle_gamma 90.00
loop_
_atom_site_label
_atom_site_type_symbol
_atom_site_fract_x
_atom_site_fract_y
_atom_site_fract_z
_atom_site_occupancy
K1 K 0.000 0.000 0.000 1
K2 K 0.000 0.079 0.500 1
K3 K 0.000 0.313 0.000 1
Se1 Se 0.000 0.500 0.500 1
```

Calculated values
The calculation puts the size of the total moment at 0.000 μB per atom. As for the formation energy (no corrections): -0.45 eV/atom. Its density of states at the Fermi level is 2.20 states/eV/f.u. The value obtained for the energy above the most stable polymorph in this dataset is 0.001 eV per atom.

4.
## Dy4ErIn4 (PBE-GGA)

Data for a geometry-optimized Dy4ErIn4 structure.

Cell and atoms, written as CIF:
```
data_Dy4ErIn4
_chemical_formula_sum 'Dy8 Er2 In8'
_symmetry_space_group_name_H-M 'P 42/n m c'
_symmetry_Int_Tables_number 137
_cell_length_a 7.145
_cell_length_b 7.145
_cell_length_c 10.641
_cell_angle_alpha 90.00
_cell_angle_beta 90.00
_cell_angle_gamma 90.00
loop_
_symmetry_equiv_pos_as_xyz
'x,y,z'
'-x,-y,-z'
'-y+1/2,x,z+1/2'
'y+1/2,-x,-z+1/2'
'-x+1/2,-y+1/2,z'
'x+1/2,y+1/2,-z'
'y,-x+1/2,z+1/2'
'-y,x+1/2,-z+1/2'
'x+1/2,-y,-z'
'-x+1/2,y,z'
'-y,-x,-z+1/2'
'y,x,z+1/2'
'-x,y+1/2,-z'
'x,-y+1/2,z'
'y+1/2,x+1/2,-z+1/2'
'-y+1/2,-x+1/2,z+1/2'
loop_
_atom_site_label
_atom_site_type_symbol
_atom_site_fract_x
_atom_site_fract_y
_atom_site_fract_z
_atom_site_occupancy
Dy1 Dy 0.024 0.250 0.169 1
Er1 Er 0.250 0.750 0.250 1
In1 In 0.025 0.250 0.469 1
```

Calculated values
The calculation puts the size of the total moment at 0.000 μB per atom. Its density of states at the Fermi level is 5.71 states/eV/f.u. The total energy comes out at -0.285 Ry per atom.